Tl12Cd2Hg5: relaxed, PBE-GGA.

Results
Density of states at the Fermi level (states/eV/atom): 0.300
DFT formation energy (kJ/mol of atoms): 3.3
Calculated density (Mg/m³): 10.58

Cell: 16.049 8.967 8.194 Å, 90.00 101.63 90.00°
Space group C2/m (No. 12)
One atom of each set of equivalent atoms:
Tl (0.036, 0.000, 0.195) (multiplicity 4)
Tl (0.066, 0.500, 0.674) (multiplicity 4)
Tl (0.143, 0.218, 0.930) (multiplicity 8)
Tl (0.158, 0.316, 0.349) (multiplicity 8)
Cd (0.000, 0.190, 0.500) (multiplicity 4)
Hg (0.000, 0.500, 0.000) (multiplicity 2)
Hg (0.166, 0.000, 0.625) (multiplicity 4)
Hg (0.240, 0.000, 0.249) (multiplicity 4)

Os2RhI: relaxed, PBE-GGA.

Results
Density of states at the Fermi level (states/eV/atom): 1.519
Raw formation energy (meV per atom): 1299
Calculated density (Mg/m³): 15.54

Cell: 6.390 6.390 6.390 Å, 90.00 90.00 90.00°
Space group Fm-3m (No. 225)
One atom of each set of equivalent atoms:
Os (0.250, 0.250, 0.250) (multiplicity 8)
Rh (0.000, 0.000, 0.000) (multiplicity 4)
I (0.000, 0.000, 0.500) (multiplicity 4)

LiInSb: relaxed, PBE-GGA.

Results
Density of states at the Fermi level (states/eV/atom): 0.078
Raw formation energy (meV per atom): -278
Calculated density (Mg/m³): 4.73

Cell: 8.367 4.839 8.884 Å, 90.00 108.03 90.00°
Space group C2/m (No. 12)
One atom of each set of equivalent atoms:
Li (0.137, 0.000, 0.411) (multiplicity 4)
In (0.116, 0.500, 0.848) (multiplicity 4)
Sb (0.000, 0.000, 0.000) (multiplicity 2)
Sb (0.000, 0.500, 0.500) (multiplicity 2)

K2Cd4Cu: relaxed, PBE-GGA.

Results
Density of states at the Fermi level (states/eV/atom): 0.586
DFT formation energy (kJ/mol of atoms): 4.7
Calculated density (Mg/m³): 4.05

Cell: 5.150 5.150 18.280 Å, 90.00 90.00 90.00°
Space group I4/mmm (No. 139)
One atom of each set of equivalent atoms:
K (0.000, 0.000, 0.158) (multiplicity 4)
Cd (0.000, 0.000, 0.358) (multiplicity 4)
Cd (0.000, 0.500, 0.000) (multiplicity 4)
Cu (0.000, 0.000, 0.500) (multiplicity 2)

Dy2Mg3In3: relaxed, PBE-GGA.

Results
Density of states at the Fermi level (states/eV/atom): 0.577
DFT formation energy (kJ/mol of atoms): -32.3
Calculated density (Mg/m³): 6.34

Cell: 4.630 4.689 8.957 Å, 90.00 90.00 90.00°
Space group Pmmm (No. 47)
One atom of each set of equivalent atoms:
Dy (0.000, 0.000, 0.247) (multiplicity 2)
Mg (0.000, 0.500, 0.500) (multiplicity 1)
Mg (0.500, 0.500, 0.252) (multiplicity 2)
In (0.000, 0.500, 0.000) (multiplicity 1)
In (0.500, 0.000, 0.000) (multiplicity 1)
In (0.500, 0.000, 0.500) (multiplicity 1)

GaCu2H: relaxed, PBE-GGA.

Results
Density of states at the Fermi level (states/eV/atom): 0.274
Electronic total energy (eV per atom): -3.1654
Calculated density (Mg/m³): 7.02

Cell: 5.721 5.721 5.721 Å, 90.00 90.00 90.00°
Space group Fm-3m (No. 225)
One atom of each set of equivalent atoms:
Ga (0.000, 0.000, 0.000) (multiplicity 4)
Cu (0.250, 0.250, 0.250) (multiplicity 8)
H (0.000, 0.000, 0.500) (multiplicity 4)

ScIn2Pd2: relaxed, PBE-GGA.

Results
Density of states at the Fermi level (states/eV/atom): 0.340
DFT formation energy (kJ/mol of atoms): -64.0
Calculated density (Mg/m³): 7.94

Cell: 4.6259 4.6259 5.5028 Å, 90.00 90.00 120.00°
Space group P-3m1 (No. 164)
One atom of each set of equivalent atoms:
Sc (0.0000, 0.0000, 0.0000) (multiplicity 1)
In (0.3333, 0.6667, 0.3541) (multiplicity 2)
Pd (0.3333, 0.6667, 0.8514) (multiplicity 2)

Np2NiS4I: relaxed, PBE-GGA.

Results
Density of states at the Fermi level (states/eV/atom): 2.469
Raw formation energy (meV per atom): -891
Calculated density (Mg/m³): 6.93

Cell: 10.967 3.891 9.708 Å, 90.00 114.30 90.00°
Space group C2/m (No. 12)
One atom of each set of equivalent atoms:
Np (0.196, 0.000, 0.294) (multiplicity 4)
Ni (0.000, 0.000, 0.500) (multiplicity 2)
S (0.112, 0.500, 0.426) (multiplicity 4)
S (0.158, 0.000, 0.750) (multiplicity 4)
I (0.000, 0.500, 0.000) (multiplicity 2)

Tb2PrDy2Er2: relaxed, PBE-GGA.

Results
Density of states at the Fermi level (states/eV/atom): 1.607
DFT formation energy (kJ/mol of atoms): 14.5
Calculated density (Mg/m³): 8.05

Cell: 17.627 3.497 8.369 Å, 90.00 116.61 90.00°
Space group C2/m (No. 12)
One atom of each set of equivalent atoms:
Tb (0.072, 0.000, 0.413) (multiplicity 4)
Pr (0.000, 0.500, 0.000) (multiplicity 2)
Dy (0.212, 0.500, 0.297) (multiplicity 4)
Er (0.150, 0.000, 0.891) (multiplicity 4)

LiErRu: relaxed, PBE-GGA.

Results
Density of states at the Fermi level (states/eV/atom): 0.311
DFT formation energy (kJ/mol of atoms): -8.1
Calculated density (Mg/m³): 8.67

Cell: 3.452 3.452 8.848 Å, 90.00 90.00 90.00°
Space group I4mm (No. 107)
One atom of each set of equivalent atoms:
Li (0.000, 0.000, 0.000) (multiplicity 2)
Er (0.000, 0.000, 0.305) (multiplicity 2)
Ru (0.000, 0.000, 0.636) (multiplicity 2)

Tm8Zn2Rh: relaxed, PBE-GGA.

Results
Density of states at the Fermi level (states/eV/atom): 0.755
DFT formation energy (kJ/mol of atoms): -27.6
Calculated density (Mg/m³): 9.50

Cell: 17.125 5.085 6.692 Å, 90.00 107.96 90.00°
Space group C2/m (No. 12)
One atom of each set of equivalent atoms:
Tm (0.026, 0.000, 0.285) (multiplicity 4)
Tm (0.091, 0.500, 0.936) (multiplicity 4)
Tm (0.160, 0.500, 0.465) (multiplicity 4)
Tm (0.199, 0.000, 0.809) (multiplicity 4)
Zn (0.185, 0.000, 0.216) (multiplicity 4)
Rh (0.000, 0.500, 0.500) (multiplicity 2)

YMgBi3: relaxed, PBE-GGA.

Results
Density of states at the Fermi level (states/eV/atom): 0.614
DFT formation energy (kJ/mol of atoms): 30.1
Calculated density (Mg/m³): 6.05

Cell: 5.878 5.878 5.878 Å, 90.00 90.00 90.00°
Space group Pm-3m (No. 221)
One atom of each set of equivalent atoms:
Y (0.000, 0.000, 0.000) (multiplicity 1)
Mg (0.500, 0.500, 0.500) (multiplicity 1)
Bi (0.000, 0.000, 0.500) (multiplicity 3)

UInSiO6: relaxed, PBE-GGA.

Results
Density of states at the Fermi level (states/eV/atom): 0.205
Raw formation energy (meV per atom): -2382
Calculated density (Mg/m³): 7.26

Cell: 5.2313 5.2313 4.6025 Å, 90.00 90.00 120.00°
Space group P312 (No. 149)
One atom of each set of equivalent atoms:
U (0.0000, 0.0000, 0.0000) (multiplicity 1)
In (0.6667, 0.3333, 0.5000) (multiplicity 1)
Si (0.3333, 0.6667, 0.0000) (multiplicity 1)
O (0.0417, 0.3788, 0.2239) (multiplicity 6)

La6Ho4Tm: relaxed, PBE-GGA.

Results
Density of states at the Fermi level (states/eV/atom): 1.701
DFT formation energy (kJ/mol of atoms): 10.3
Calculated density (Mg/m³): 7.25

Cell: 5.906 9.839 26.208 Å, 90.00 90.00 90.00°
Space group Cmcm (No. 63)
One atom of each set of equivalent atoms:
La (0.000, 0.000, 0.000) (multiplicity 4)
La (0.000, 0.044, 0.250) (multiplicity 4)
La (0.000, 0.307, 0.600) (multiplicity 8)
La (0.000, 0.368, 0.182) (multiplicity 8)
Ho (0.000, 0.034, 0.125) (multiplicity 8)
Ho (0.000, 0.346, 0.045) (multiplicity 8)
Tm (0.000, 0.296, 0.750) (multiplicity 4)

LiSmCd17: relaxed, PBE-GGA.

Results
Density of states at the Fermi level (states/eV/atom): 0.352
DFT formation energy (kJ/mol of atoms): -7.1
Calculated density (Mg/m³): 7.71

Cell: 10.0954 10.0954 15.1382 Å, 90.00 90.00 120.00°
Space group R3m (No. 160, hexagonal axes)
One atom of each set of equivalent atoms:
Li (0.0000, 0.0000, 0.0000) (multiplicity 3)
Sm (0.0000, 0.0000, 0.2667) (multiplicity 3)
Cd (0.0000, 0.0000, 0.4938) (multiplicity 3)
Cd (0.0000, 0.0000, 0.6933) (multiplicity 3)
Cd (0.0031, 0.3069, 0.5978) (multiplicity 18)
Cd (0.1709, 0.3419, 0.0788) (multiplicity 9)
Cd (0.1746, 0.3492, 0.4328) (multiplicity 9)
Cd (0.1843, 0.3686, 0.7812) (multiplicity 9)

Ac2CeHg: relaxed, PBE-GGA.

Results
Density of states at the Fermi level (states/eV/atom): 2.500
DFT formation energy (kJ/mol of atoms): 16.0
Calculated density (Mg/m³): 8.73

Cell: 3.7475 3.7475 37.2781 Å, 90.00 90.00 120.00°
Space group R-3m (No. 166, hexagonal axes)
One atom of each set of equivalent atoms:
Ac (0.0000, 0.0000, 0.0956) (multiplicity 6)
Ce (0.0000, 0.0000, 0.0000) (multiplicity 3)
Hg (0.0000, 0.0000, 0.5000) (multiplicity 3)

Nd5Ni2Pb5: relaxed, PBE-GGA.

Results
Density of states at the Fermi level (states/eV/atom): 0.488
DFT formation energy (kJ/mol of atoms): -43.4
Calculated density (Mg/m³): 9.27

Cell: 16.829 4.512 11.770 Å, 90.00 131.27 90.00°
Space group C2/m (No. 12)
One atom of each set of equivalent atoms:
Nd (0.000, 0.000, 0.000) (multiplicity 2)
Nd (0.121, 0.000, 0.419) (multiplicity 4)
Nd (0.190, 0.000, 0.817) (multiplicity 4)
Ni (0.139, 0.500, 0.251) (multiplicity 4)
Pb (0.000, 0.500, 0.500) (multiplicity 2)
Pb (0.060, 0.500, 0.851) (multiplicity 4)
Pb (0.246, 0.000, 0.300) (multiplicity 4)

Nd9TmTl2: relaxed, PBE-GGA.

Results
Density of states at the Fermi level (states/eV/atom): 1.312
DFT formation energy (kJ/mol of atoms): -12.3
Calculated density (Mg/m³): 8.08

Cell: 5.009 5.009 15.370 Å, 90.00 90.00 90.00°
Space group P4/mmm (No. 123)
One atom of each set of equivalent atoms:
Nd (0.000, 0.000, 0.000) (multiplicity 1)
Nd (0.000, 0.000, 0.336) (multiplicity 2)
Nd (0.000, 0.500, 0.171) (multiplicity 4)
Nd (0.000, 0.500, 0.500) (multiplicity 2)
Tm (0.500, 0.500, 0.000) (multiplicity 1)
Tl (0.500, 0.500, 0.339) (multiplicity 2)

NaCa3Mg2: relaxed, PBE-GGA.

Results
Density of states at the Fermi level (states/eV/atom): 0.814
DFT formation energy (kJ/mol of atoms): -3.4
Calculated density (Mg/m³): 1.58

Cell: 4.004 4.004 12.607 Å, 90.00 90.00 90.00°
Space group P4/mmm (No. 123)
One atom of each set of equivalent atoms:
Na (0.000, 0.000, 0.000) (multiplicity 1)
Ca (0.500, 0.500, 0.194) (multiplicity 2)
Ca (0.500, 0.500, 0.500) (multiplicity 1)
Mg (0.000, 0.000, 0.347) (multiplicity 2)

Li3Ag3Ge2: relaxed, PBE-GGA.

Results
Density of states at the Fermi level (states/eV/atom): 0.277
DFT formation energy (kJ/mol of atoms): -12.7
Calculated density (Mg/m³): 6.02

Cell: 13.660 4.470 4.690 Å, 90.00 109.30 90.00°
Space group C2/m (No. 12)
One atom of each set of equivalent atoms:
Li (0.000, 0.000, 0.000) (multiplicity 2)
Li (0.133, 0.000, 0.673) (multiplicity 4)
Ag (0.000, 0.500, 0.500) (multiplicity 2)
Ag (0.123, 0.500, 0.102) (multiplicity 4)
Ge (0.249, 0.500, 0.701) (multiplicity 4)